(1)
A plane-wave DFT calculation with GGA-PBE was carried out for a relaxed structure of As3SeF.

Computed properties:
Uncorrected formation energy ... 69.50 kJ/mol of atoms
E above lowest polymorph ... 0.228 eV per atom

abc: 5.0152 5.0152 5.0152
angles: 90.00 90.00 90.00
Space group Pm-3m (No. 221)
One atom of each set of equivalent atoms:
As 0.0000 0.0000 0.5000 x3
Se 0.0000 0.0000 0.0000 x1
F 0.5000 0.5000 0.5000 x1

(2)
A plane-wave DFT calculation with GGA-PBE was carried out for a relaxed structure of Zr2ScCo.

Computed properties:
Calculated formation energy ... -0.20 eV per atom
E above lowest polymorph ... 0.000 eV per atom

abc: 6.2368 9.0544 5.7432
angles: 90.00 90.00 90.00
Space group Pnma (No. 62)
One atom of each set of equivalent atoms:
Zr 0.1765 0.0617 0.1760 x8
Sc 0.0320 0.2500 0.6445 x4
Co 0.1115 0.7500 0.9214 x4